A geometry-optimized La14CeSc structure, computed with PBE.

Calculated values
- space group = Amm2, No. 38
- total energy (eV/atom) = -5.0492

abc: 7.3420 7.3420 10.4711
angles: 90.00 90.00 89.97
Closest atoms and distances in Å follow each position.
Sites, in units of the cell vectors:
Sc 0.8745 0.1255 0.0000  12 La 3.61-3.69
La 0.1246 0.8754 0.2395  1 Sc 3.61, 1 Ce 3.61, 10 La 3.63-3.76
La 0.1246 0.8754 0.7605  1 Sc 3.61, 1 Ce 3.61, 10 La 3.63-3.76
La 0.8723 0.6234 0.0000  8 La 3.62-3.63, 2 Ce 3.65-3.69, 2 Sc 3.66-3.69
La 0.8758 0.1242 0.5000  12 La 3.65-3.76
La 0.3730 0.1231 0.5000  12 La 3.65-3.75
La 0.3766 0.1277 0.0000  8 La 3.62-3.63, 2 Ce 3.65-3.69, 2 Sc 3.66-3.69
La 0.6260 0.3740 0.2447  10 La 3.63-3.74, 1 Sc 3.64, 1 Ce 3.65
La 0.1244 0.3743 0.7580  10 La 3.62-3.75, 1 Sc 3.62, 1 Ce 3.63
La 0.1244 0.3743 0.2420  10 La 3.62-3.75, 1 Sc 3.62, 1 Ce 3.63
La 0.6258 0.8756 0.2420  10 La 3.62-3.75, 1 Sc 3.62, 1 Ce 3.63
La 0.3745 0.6255 0.5000  12 La 3.65-3.76
La 0.6258 0.8756 0.7580  10 La 3.62-3.75, 1 Sc 3.62, 1 Ce 3.63
La 0.6260 0.3740 0.7553  10 La 3.63-3.74, 1 Sc 3.64, 1 Ce 3.65
La 0.8769 0.6270 0.5000  12 La 3.65-3.75
Ce 0.3750 0.6250 0.0000  12 La 3.61-3.69

A geometry-optimized La2CeScSe4 structure, computed with PBE.

Calculated values
- space group = P2/m, No. 10
- formation energy from raw total energies (eV per atom) = -1.82

abc: 4.1535 7.2411 7.2830
angles: 109.05 90.00 90.00
Closest atoms and distances in Å follow each position.
Sites, in units of the cell vectors:
La 0.0000 0.5000 0.5000  6 Se 3.09-3.10
La 0.5000 0.0000 0.5000  6 Se 2.99
Se 0.5000 0.2301 0.2253  2 Sc 2.83, 1 Ce 2.93, 3 La 2.99-3.10
Se 0.5000 0.7699 0.7747  2 Sc 2.83, 1 Ce 2.93, 3 La 2.99-3.10
Se 0.0000 0.7566 0.2335  1 Sc 2.82, 2 Ce 2.93, 3 La 2.99-3.09
Se 0.0000 0.2434 0.7665  1 Sc 2.82, 2 Ce 2.93, 3 La 2.99-3.09
Ce 0.5000 0.5000 0.0000  6 Se 2.93
Sc 0.0000 0.0000 0.0000  6 Se 2.82-2.83

A geometry-optimized La2Ce3ScSe6 structure, computed with PBE.

Calculated values
- space group = C2/m, No. 12
- formation energy from raw total energies (eV per atom) = -1.81

abc: 4.1798 8.4408 9.3782
angles: 103.17 102.88 90.00
Closest atoms and distances in Å follow each position.
Sites, in units of the cell vectors:
Ce 0.8296 0.1640 0.6593  6 Se 2.94-3.05
Ce 0.1704 0.8360 0.3407  6 Se 2.94-3.05
Ce 0.5000 0.5000 0.0000  6 Se 2.95-3.08
Se 0.0040 0.7696 0.0081  2 Sc 2.87, 3 Ce 2.96-3.08, 1 La 3.00
Se 0.9960 0.2304 0.9919  2 Sc 2.87, 3 Ce 2.96-3.08, 1 La 3.00
Se 0.6582 0.0742 0.3163  1 Sc 2.81, 3 Ce 2.94-3.05, 2 La 3.00
Se 0.3342 0.4124 0.6684  3 Ce 2.95, 3 La 3.00-3.01
Se 0.3418 0.9258 0.6837  1 Sc 2.81, 3 Ce 2.94-3.05, 2 La 3.00
Se 0.6658 0.5876 0.3316  3 Ce 2.95, 3 La 3.00-3.01
La 0.8352 0.6684 0.6704  6 Se 3.00-3.01
La 0.1648 0.3316 0.3296  6 Se 3.00-3.01
Sc 0.5000 0.0000 0.0000  6 Se 2.81-2.87

A geometry-optimized LaCe2ScSe4 structure, computed with PBE.

Calculated values
- space group = P2/m, No. 10
- formation energy from raw total energies (eV per atom) = -1.77

abc: 4.1345 7.2169 7.2311
angles: 109.07 90.00 90.00
Closest atoms and distances in Å follow each position.
Sites, in units of the cell vectors:
Se 0.5000 0.7705 0.7658  2 Sc 2.84, 3 Ce 2.92-3.05, 1 La 2.97
Se 0.0000 0.2356 0.7549  1 Sc 2.83, 3 Ce 2.92-3.06, 2 La 2.97
Se 0.0000 0.7644 0.2451  1 Sc 2.83, 3 Ce 2.92-3.06, 2 La 2.97
Se 0.5000 0.2295 0.2342  2 Sc 2.84, 3 Ce 2.92-3.05, 1 La 2.97
Sc 0.0000 0.0000 0.0000  6 Se 2.83-2.84
Ce 0.0000 0.5000 0.5000  6 Se 3.05-3.06
Ce 0.5000 0.0000 0.5000  6 Se 2.92
La 0.5000 0.5000 0.0000  6 Se 2.97

A geometry-optimized La4Ce3ScTe8 structure, computed with PBE.

Calculated values
- space group = R-3m, No. 166
- formation energy from raw total energies (eV per atom) = -1.44

abc: 8.9912 9.0206 8.9925
angles: 119.90 120.00 90.00
Closest atoms and distances in Å follow each position.
Sites, in units of the cell vectors:
La 0.0000 0.0000 0.5000  6 Te 3.21
La 0.0000 0.0000 0.0000  6 Te 3.21
La 0.5000 0.0000 0.0000  6 Te 3.31-3.32
La 0.5000 0.0000 0.5000  6 Te 3.21
Te 0.7480 0.7444 0.4961  3 Ce 3.16, 3 La 3.21
Te 0.7599 0.2640 0.0035  1 Sc 3.05, 2 Ce 3.16, 3 La 3.21-3.31
Te 0.2436 0.2640 0.0035  1 Sc 3.05, 2 Ce 3.16, 3 La 3.21-3.31
Te 0.7607 0.2644 0.5214  1 Sc 3.05, 2 Ce 3.16, 3 La 3.21-3.32
Te 0.2520 0.2556 0.5039  3 Ce 3.16, 3 La 3.21
Te 0.2393 0.7356 0.4786  1 Sc 3.05, 2 Ce 3.16, 3 La 3.21-3.32
Te 0.7564 0.7360 0.9965  1 Sc 3.05, 2 Ce 3.16, 3 La 3.21-3.31
Te 0.2401 0.7360 0.9965  1 Sc 3.05, 2 Ce 3.16, 3 La 3.21-3.31
Ce 0.5000 0.5000 0.5000  6 Te 3.16
Ce 0.5000 0.5000 0.0000  6 Te 3.16
Ce 0.0000 0.5000 0.5000  6 Te 3.16
Sc 0.0000 0.5000 0.0000  6 Te 3.05

A geometry-optimized LaCe2ScTe4 structure, computed with PBE.

Calculated values
- space group = P2/m, No. 10
- formation energy from raw total energies (eV per atom) = -1.33

abc: 4.4026 7.6819 7.7594
angles: 108.92 90.00 90.00
Closest atoms and distances in Å follow each position.
Sites, in units of the cell vectors:
Te 0.5000 0.7693 0.7654  2 Sc 3.03, 3 Ce 3.12-3.26, 1 La 3.17
Te 0.5000 0.2307 0.2346  2 Sc 3.03, 3 Ce 3.12-3.26, 1 La 3.17
Te 0.0000 0.2371 0.7551  1 Sc 3.03, 3 Ce 3.12-3.25, 2 La 3.17
Te 0.0000 0.7629 0.2449  1 Sc 3.03, 3 Ce 3.12-3.25, 2 La 3.17
Sc 0.0000 0.0000 0.0000  6 Te 3.03
La 0.5000 0.5000 0.0000  6 Te 3.17
Ce 0.5000 0.0000 0.5000  6 Te 3.12
Ce 0.0000 0.5000 0.5000  6 Te 3.25-3.26

A geometry-optimized La2Ce3ScTe6 structure, computed with PBE.

Calculated values
- space group = C2/m, No. 12
- formation energy from raw total energies (eV per atom) = -1.38

abc: 4.4466 9.0179 10.0140
angles: 103.40 102.83 90.00
Closest atoms and distances in Å follow each position.
Sites, in units of the cell vectors:
Te 0.0043 0.7689 0.0086  2 Sc 3.06, 3 Ce 3.19-3.28, 1 La 3.22
Te 0.9957 0.2311 0.9914  2 Sc 3.06, 3 Ce 3.19-3.28, 1 La 3.22
Te 0.3423 0.9252 0.6845  1 Sc 2.99, 3 Ce 3.15-3.22, 2 La 3.19
Te 0.6577 0.0748 0.3155  1 Sc 2.99, 3 Ce 3.15-3.22, 2 La 3.19
Te 0.6659 0.5869 0.3319  3 Ce 3.15, 3 La 3.19-3.20
Te 0.3341 0.4131 0.6681  3 Ce 3.15, 3 La 3.19-3.20
La 0.1652 0.3323 0.3304  6 Te 3.19-3.22
La 0.8348 0.6677 0.6696  6 Te 3.19-3.22
Ce 0.8277 0.1632 0.6554  6 Te 3.15-3.22
Ce 0.1723 0.8368 0.3446  6 Te 3.15-3.22
Ce 0.5000 0.5000 0.0000  6 Te 3.15-3.28
Sc 0.5000 0.0000 0.0000  6 Te 2.99-3.06

A geometry-optimized LaCeScTl structure, computed with PBE.

Calculated values
- space group = F-43m, No. 216
- total energy (eV/atom) = -4.8793

abc: 5.4017 5.4017 5.4017
angles: 60.00 60.00 60.00
Closest atoms and distances in Å follow each position.
Sites, in units of the cell vectors:
Sc 0.7500 0.7500 0.7500  4 Tl 3.31, 4 Ce 3.31
Tl 0.0000 0.0000 0.0000  4 Sc 3.31, 4 La 3.31
La 0.2500 0.2500 0.2500  4 Tl 3.31, 4 Ce 3.31
Ce 0.5000 0.5000 0.5000  4 La 3.31, 4 Sc 3.31

A geometry-optimized LaCeYSc structure, computed with PBE.

Calculated values
- space group = F-43m, No. 216
- total energy (eV/atom) = -5.7648

abc: 5.6217 5.6217 5.6217
angles: 60.00 60.00 60.00
Closest atoms and distances in Å follow each position.
Sites, in units of the cell vectors:
Sc 0.7500 0.7500 0.7500  4 La 3.44, 4 Ce 3.44
Ce 0.5000 0.5000 0.5000  4 Sc 3.44, 4 Y 3.44
Y 0.2500 0.2500 0.2500  4 La 3.44, 4 Ce 3.44
La 0.0000 0.0000 0.0000  4 Sc 3.44, 4 Y 3.44

A geometry-optimized La2CeSe5 structure, computed with PBE.

Calculated values
- space group = Pnma, No. 62
- formation energy from raw total energies (eV per atom) = -1.92

abc: 7.9484 8.6112 12.5798
angles: 90.00 90.00 90.00
Closest atoms and distances in Å follow each position.
Sites, in units of the cell vectors:
Se 0.4565 0.2500 0.0016  1 Ce 3.06, 4 La 3.12-3.13
Se 0.8074 0.7500 0.2149  1 Ce 2.97, 4 La 3.08-3.14
Se 0.6926 0.7500 0.7149  1 Ce 2.97, 4 La 3.08-3.14
Se 0.3074 0.2500 0.2851  1 Ce 2.97, 4 La 3.08-3.14
Se 0.3343 0.5429 0.5939  2 Ce 2.84-2.90, 2 La 3.08-3.10
Se 0.6657 0.4571 0.4061  2 Ce 2.84-2.90, 2 La 3.08-3.10
Se 0.3343 0.9571 0.5939  2 Ce 2.84-2.90, 2 La 3.08-3.10
Se 0.6665 0.2500 0.6884  1 Ce 2.95, 4 La 3.14-3.25
Se 0.9565 0.7500 0.4984  1 Ce 3.06, 4 La 3.12-3.13
Se 0.0435 0.2500 0.5016  1 Ce 3.06, 4 La 3.12-3.13
Se 0.8343 0.4571 0.9061  2 Ce 2.84-2.90, 2 La 3.08-3.10
Se 0.8343 0.0429 0.9061  2 Ce 2.84-2.90, 2 La 3.08-3.10
Se 0.1657 0.5429 0.0939  2 Ce 2.84-2.90, 2 La 3.08-3.10
Se 0.1657 0.9571 0.0939  2 Ce 2.84-2.90, 2 La 3.08-3.10
Se 0.1926 0.2500 0.7851  1 Ce 2.97, 4 La 3.08-3.14
Se 0.5435 0.7500 0.9984  1 Ce 3.06, 4 La 3.12-3.13
Se 0.1665 0.7500 0.8116  1 Ce 2.95, 4 La 3.14-3.25
Se 0.8335 0.2500 0.1884  1 Ce 2.95, 4 La 3.14-3.25
Se 0.6657 0.0429 0.4061  2 Ce 2.84-2.90, 2 La 3.08-3.10
Se 0.3335 0.7500 0.3116  1 Ce 2.95, 4 La 3.14-3.25
La 0.0270 0.5006 0.3227  8 Se 3.08-3.25
La 0.5270 0.4994 0.1773  8 Se 3.08-3.25
La 0.4730 0.9994 0.8227  8 Se 3.08-3.25
La 0.4730 0.5006 0.8227  8 Se 3.08-3.25
La 0.9730 0.4994 0.6773  8 Se 3.08-3.25
La 0.9730 0.0006 0.6773  8 Se 3.08-3.25
La 0.5270 0.0006 0.1773  8 Se 3.08-3.25
La 0.0270 0.9994 0.3227  8 Se 3.08-3.25
Ce 0.0717 0.2500 0.0087  7 Se 2.84-3.06
Ce 0.5717 0.7500 0.4913  7 Se 2.84-3.06
Ce 0.4283 0.2500 0.5087  7 Se 2.84-3.06
Ce 0.9283 0.7500 0.9913  7 Se 2.84-3.06

A geometry-optimized La2CeSe4 structure, computed with PBE.

Calculated values
- space group = I-42d, No. 122
- relative energy among the computed polymorphs (eV per atom) = 0.000
- formation energy from raw total energies (eV per atom) = -1.96

abc: 7.8361 7.8361 7.8361
angles: 109.43 109.55 109.43
Closest atoms and distances in Å follow each position.
Sites, in units of the cell vectors:
Se 0.1224 0.8994 0.3730  2 Ce 3.05-3.20, 4 La 3.06-3.22, 1 Se 3.41
Se 0.4737 0.1006 0.2230  2 Ce 3.05-3.20, 4 La 3.06-3.22, 1 Se 3.41
Se 0.6270 0.7494 0.5263  2 Ce 3.05-3.20, 4 La 3.06-3.22, 1 Se 3.41
Se 0.6276 0.7506 0.0270  2 Ce 3.05-3.20, 4 La 3.06-3.22, 1 Se 3.41
Se 0.2763 0.2494 0.8770  2 Ce 3.05-3.20, 4 La 3.06-3.22, 1 Se 3.41
Se 0.7770 0.2506 0.8776  2 Ce 3.05-3.20, 4 La 3.06-3.22, 1 Se 3.41
Se 0.1230 0.3994 0.3724  2 Ce 3.05-3.20, 4 La 3.06-3.22, 1 Se 3.41
Se 0.9730 0.6006 0.7237  2 Ce 3.05-3.20, 4 La 3.06-3.22, 1 Se 3.41
La 0.4990 0.3740 0.6250  8 Se 3.06-3.22
La 0.2510 0.6260 0.1250  8 Se 3.06-3.22
La 0.3750 0.8740 0.7490  8 Se 3.06-3.22
La 0.8750 0.1260 0.5010  8 Se 3.06-3.22
Ce 0.7500 0.5000 0.2500  8 Se 3.05-3.20
Ce 0.0000 0.0000 0.0000  8 Se 3.05-3.20

A geometry-optimized La4CeSe5 structure, computed with PBE.

Calculated values
- space group = Immm, No. 71
- formation energy from raw total energies (eV per atom) = -1.96

abc: 4.2905 6.0754 11.3768
angles: 105.49 100.87 90.00
Closest atoms and distances in Å follow each position.
Sites, in units of the cell vectors:
Se 0.5974 0.0974 0.1948  2 Ce 3.00, 4 La 3.04-3.05
Se 0.7992 0.2992 0.5985  6 La 3.04-3.06
Se 0.2008 0.7008 0.4015  6 La 3.04-3.06
Se 0.4026 0.9026 0.8052  2 Ce 3.00, 4 La 3.04-3.05
Se 0.0000 0.5000 0.0000  4 La 3.03, 2 Ce 3.04
La 0.4004 0.4004 0.8007  6 Se 3.03-3.05
La 0.1980 0.1980 0.3960  6 Se 3.04-3.06
La 0.5996 0.5996 0.1993  6 Se 3.03-3.05
La 0.8020 0.8020 0.6040  6 Se 3.04-3.06
Ce 0.0000 0.0000 0.0000  6 Se 3.00-3.04